Entry from Alexandria: a relaxed DyMgIn crystal (PBE).

Its space group is P-62m. The crystal system is hexagonal. The value obtained for the calculated density is 6.55 g/cm3. Its calculated total energy is -30.3 eV per cell. As for the formation enthalpy at 0 K: -0.39 eV per atom.

Lattice parameters (Å, degrees): 7.5171 7.5171 4.6899 90.00 90.00 120.00
Closest atoms and distances in Å follow each position.
Atoms (fractional coordinates):
Dy  0.0000  0.5648  0.0000  5 In 3.23-3.27, 2 Mg 3.38
Dy  0.4352  0.4352  0.0000  5 In 3.23-3.27, 2 Mg 3.38
Dy  0.5648  0.0000  0.0000  5 In 3.23-3.27, 2 Mg 3.38
Mg  0.0000  0.2414  0.5000  4 In 2.91-2.96, 2 Mg 3.14
Mg  0.2414  0.0000  0.5000  4 In 2.91-2.96, 2 Mg 3.14
Mg  0.7586  0.7586  0.5000  4 In 2.91-2.96, 2 Mg 3.14
In  0.0000  0.0000  0.0000  6 Mg 2.96, 3 Dy 3.27
In  0.3333  0.6667  0.5000  3 Mg 2.91, 6 Dy 3.23
In  0.6667  0.3333  0.5000  3 Mg 2.91, 6 Dy 3.23

=====

Entry from Alexandria: a relaxed DyMgIn crystal (PBE).

Its space group is I4/mmm. The crystal system is tetragonal. The value obtained for the calculated density is 6.19 g/cm3. Its calculated total energy is -18.2 eV per cell. As for the formation enthalpy at 0 K: -0.06 eV per atom.

Lattice parameters (Å, degrees): 12.7080 12.7080 12.7080 163.69 163.69 23.15
Closest atoms and distances in Å follow each position.
Atoms (fractional coordinates):
Dy  0.0692  0.0692  0.0000  4 In 3.24, 5 Dy 3.45-3.61, 1 Mg 3.61
Dy  0.9308  0.9308  0.0000  4 In 3.24, 5 Dy 3.45-3.61, 1 Mg 3.61
Mg  0.2144  0.2144  0.0000  4 In 3.02, 4 Mg 3.11
Mg  0.7856  0.7856  0.0000  4 In 3.02, 4 Mg 3.11
In  0.3508  0.3508  0.0000  4 Mg 3.02, 4 Dy 3.24
In  0.6492  0.6492  0.0000  4 Mg 3.02, 4 Dy 3.24

=====

Entry from Alexandria: a relaxed DyMgIn crystal (PBE).

Its space group is P-6m2. The crystal system is hexagonal. The value obtained for the calculated density is 6.58 g/cm3. Its calculated total energy is -9.9 eV per cell. As for the formation enthalpy at 0 K: -0.33 eV per atom.

Lattice parameters (Å, degrees): 4.9585 4.9585 3.5757 90.00 90.00 120.00
Closest atoms and distances in Å follow each position.
Atoms (fractional coordinates):
Dy  0.0000  0.0000  0.0000  6 Mg 3.38, 6 In 3.38, 2 Dy 3.58
Mg  0.3333  0.6667  0.5000  3 In 2.86
In  0.6667  0.3333  0.5000  3 Mg 2.86

=====

Entry from Alexandria: a relaxed Dy5Mg4In crystal (PBE).

Its space group is P4/mmm. The crystal system is tetragonal. The value obtained for the calculated density is 6.30 g/cm3. Its calculated total energy is -33.8 eV per cell. As for the formation enthalpy at 0 K: -0.17 eV per atom.

Lattice parameters (Å, degrees): 3.7755 3.7755 18.9466 90.00 90.00 90.00
Closest atoms and distances in Å follow each position.
Atoms (fractional coordinates):
Dy  0.0000  0.0000  0.0000  8 Mg 3.28
Dy  0.0000  0.0000  0.2005  8 Mg 3.26-3.28
Dy  0.0000  0.0000  0.3997  4 In 3.28, 4 Mg 3.28
Dy  0.0000  0.0000  0.6003  4 In 3.28, 4 Mg 3.28
Dy  0.0000  0.0000  0.7995  8 Mg 3.26-3.28
Mg  0.5000  0.5000  0.1004  8 Dy 3.28
Mg  0.5000  0.5000  0.2990  8 Dy 3.26-3.28
Mg  0.5000  0.5000  0.7010  8 Dy 3.26-3.28
Mg  0.5000  0.5000  0.8996  8 Dy 3.28
In  0.5000  0.5000  0.5000  8 Dy 3.28

=====

Entry from Alexandria: a relaxed Dy3MgIn crystal (PBE).

Its space group is Cmcm. The crystal system is orthorhombic. Its distance to the lowest polymorph of the same formula is 0.000 eV/atom. The value obtained for the calculated density is 7.46 g/cm3. Its calculated total energy is -38.7 eV per cell. As for the formation enthalpy at 0 K: -0.24 eV per atom.

Lattice parameters (Å, degrees): 11.0402 11.0402 5.0954 90.00 90.00 153.31
Closest atoms and distances in Å follow each position.
Atoms (fractional coordinates):
Dy  0.0561  0.9439  0.7500  2 Mg 3.29, 2 In 3.33, 8 Dy 3.51-3.60
Dy  0.2498  0.7502  0.7500  4 In 3.25-3.26, 4 Mg 3.28-3.29, 4 Dy 3.60
Dy  0.4416  0.5584  0.7500  2 Mg 3.26, 2 In 3.30, 8 Dy 3.54-3.60
Dy  0.5584  0.4416  0.2500  2 Mg 3.26, 2 In 3.30, 8 Dy 3.54-3.60
Dy  0.7502  0.2498  0.2500  4 In 3.25-3.26, 4 Mg 3.28-3.29, 4 Dy 3.60
Dy  0.9439  0.0561  0.2500  2 Mg 3.29, 2 In 3.33, 8 Dy 3.51-3.60
Mg  0.1533  0.8467  0.2500  8 Dy 3.26-3.29, 4 In 3.60
Mg  0.8467  0.1533  0.7500  8 Dy 3.26-3.29, 4 In 3.60
In  0.3442  0.6558  0.2500  8 Dy 3.25-3.33, 4 Mg 3.60
In  0.6558  0.3442  0.7500  8 Dy 3.25-3.33, 4 Mg 3.60

=====

Entry from Alexandria: a relaxed Dy3MgIn crystal (PBE).

Its space group is P6_3/mmc. The crystal system is hexagonal. Its distance to the lowest polymorph of the same formula is 0.299 eV/atom. The value obtained for the calculated density is 6.89 g/cm3. Its calculated total energy is -35.7 eV per cell. As for the formation enthalpy at 0 K: 0.06 eV per atom.

Lattice parameters (Å, degrees): 8.2803 8.2803 5.0892 90.00 90.00 120.00
Closest atoms and distances in Å follow each position.
Atoms (fractional coordinates):
Dy  0.1963  0.3927  0.2500  2 Mg 3.09, 2 In 3.21, 2 Dy 3.40
Dy  0.1963  0.8037  0.2500  2 Mg 3.09, 2 In 3.21, 2 Dy 3.40
Dy  0.3927  0.1963  0.7500  2 Mg 3.09, 2 In 3.21, 2 Dy 3.40
Dy  0.6073  0.8037  0.2500  2 Mg 3.09, 2 In 3.21, 2 Dy 3.40
Dy  0.8037  0.1963  0.7500  2 Mg 3.09, 2 In 3.21, 2 Dy 3.40
Dy  0.8037  0.6073  0.7500  2 Mg 3.09, 2 In 3.21, 2 Dy 3.40
Mg  0.0000  0.0000  0.0000  2 Mg 2.54
Mg  0.0000  0.0000  0.5000  2 Mg 2.54
In  0.3333  0.6667  0.7500  6 Dy 3.21
In  0.6667  0.3333  0.2500  6 Dy 3.21

=====

Entry from Alexandria: a relaxed Dy8MgIn2 crystal (PBE).

Its space group is C2/m. The crystal system is monoclinic. The value obtained for the calculated density is 8.07 g/cm3. Its calculated total energy is -45.9 eV per cell. As for the formation enthalpy at 0 K: -0.18 eV per atom.

Lattice parameters (Å, degrees): 8.5573 8.5573 8.5447 119.07 119.07 36.48
Closest atoms and distances in Å follow each position.
Atoms (fractional coordinates):
Dy  0.0640  0.0640  0.2208  1 In 3.16, 6 Dy 3.25-3.49
Dy  0.1363  0.1363  0.6827  3 In 3.29-3.32, 2 Mg 3.31, 4 Dy 3.49-3.67
Dy  0.3189  0.3189  0.5575  1 In 3.19, 1 Mg 3.22, 4 Dy 3.27-3.30
Dy  0.4077  0.4077  0.0489  3 In 3.30-3.31, 1 Mg 3.35, 4 Dy 3.46-3.68
Dy  0.5923  0.5923  0.9511  3 In 3.30-3.31, 1 Mg 3.35, 4 Dy 3.46-3.68
Dy  0.6811  0.6811  0.4425  1 In 3.19, 1 Mg 3.22, 4 Dy 3.27-3.30
Dy  0.8637  0.8637  0.3173  3 In 3.29-3.32, 2 Mg 3.31, 4 Dy 3.49-3.67
Dy  0.9360  0.9360  0.7792  1 In 3.16, 6 Dy 3.25-3.49
Mg  0.5000  0.5000  0.5000  8 Dy 3.22-3.35
In  0.2283  0.2283  0.1267  8 Dy 3.16-3.32
In  0.7717  0.7717  0.8733  8 Dy 3.16-3.32

=====

Entry from Alexandria: a relaxed Dy4Mg3In2 crystal (PBE).

Its space group is P-3m1. The crystal system is trigonal. The value obtained for the calculated density is 6.56 g/cm3. Its calculated total energy is -30.9 eV per cell. As for the formation enthalpy at 0 K: -0.25 eV per atom.

Lattice parameters (Å, degrees): 5.2630 5.2630 10.0582 90.00 90.00 120.00
Closest atoms and distances in Å follow each position.
Atoms (fractional coordinates):
Dy  0.0000  0.0000  0.1742  7 Mg 3.28-3.57, 3 In 3.29, 4 Dy 3.51-3.66
Dy  0.0000  0.0000  0.8258  7 Mg 3.28-3.57, 3 In 3.29, 4 Dy 3.51-3.66
Dy  0.3333  0.6667  0.3778  4 In 3.14-3.24, 3 Mg 3.28
Dy  0.6667  0.3333  0.6222  4 In 3.14-3.24, 3 Mg 3.28
Mg  0.0000  0.0000  0.5000  8 Dy 3.28, 6 In 3.65
Mg  0.3333  0.6667  0.0129  3 Mg 3.05, 1 In 3.14
Mg  0.6667  0.3333  0.9871  3 Mg 3.05, 1 In 3.14
In  0.3333  0.6667  0.7002  7 Dy 3.14-3.29, 1 Mg 3.14
In  0.6667  0.3333  0.2998  7 Dy 3.14-3.29, 1 Mg 3.14

=====

Entry from Alexandria: a relaxed Dy2MgIn crystal (PBE).

Its space group is Fm-3m. The crystal system is cubic. Its distance to the lowest polymorph of the same formula is 0.000 eV/atom. The value obtained for the calculated density is 7.28 g/cm3. Its calculated total energy is -14.8 eV per cell. As for the formation enthalpy at 0 K: -0.32 eV per atom.

Lattice parameters (Å, degrees): 5.3098 5.3098 5.3098 60.00 60.00 60.00
Closest atoms and distances in Å follow each position.
Atoms (fractional coordinates):
Dy  0.2500  0.2500  0.2500  4 In 3.25, 4 Mg 3.25
Dy  0.7500  0.7500  0.7500  4 In 3.25, 4 Mg 3.25
Mg  0.0000  0.0000  0.0000  8 Dy 3.25
In  0.5000  0.5000  0.5000  8 Dy 3.25

=====

Entry from Alexandria: a relaxed Dy3Mg5In2 crystal (PBE).

Its space group is Ibam. The crystal system is orthorhombic. The value obtained for the calculated density is 5.23 g/cm3. Its calculated total energy is -56.0 eV per cell. As for the formation enthalpy at 0 K: -0.07 eV per atom.

Lattice parameters (Å, degrees): 9.7867 9.7867 9.7867 101.06 90.54 143.01
Closest atoms and distances in Å follow each position.
Atoms (fractional coordinates):
Dy  0.2325  0.1269  0.3594  4 In 3.30-3.51, 4 Mg 3.40-3.50
Dy  0.2500  0.2500  0.0000  2 Dy 3.10, 4 In 3.14, 2 Mg 3.19
Dy  0.2675  0.6269  0.8943  4 In 3.30-3.51, 4 Mg 3.40-3.50
Dy  0.7325  0.3731  0.1057  4 In 3.30-3.51, 4 Mg 3.40-3.50
Dy  0.7500  0.7500  0.0000  2 Dy 3.10, 4 In 3.14, 2 Mg 3.19
Dy  0.7675  0.8731  0.6406  4 In 3.30-3.51, 4 Mg 3.40-3.50
Mg  0.1503  0.3868  0.5371  1 In 2.74, 4 Mg 2.95-3.05
Mg  0.2500  0.5064  0.2564  2 In 2.98, 5 Mg 3.03-3.10, 1 Dy 3.19
Mg  0.2500  0.7500  0.5000  8 Mg 2.95-3.10
Mg  0.2500  0.9936  0.7436  2 In 2.98, 5 Mg 3.03-3.10, 1 Dy 3.19
Mg  0.3497  0.8868  0.2366  1 In 2.74, 4 Mg 2.95-3.05
Mg  0.6503  0.1132  0.7634  1 In 2.74, 4 Mg 2.95-3.05
Mg  0.7500  0.0064  0.2564  2 In 2.98, 5 Mg 3.03-3.10, 1 Dy 3.19
Mg  0.7500  0.2500  0.5000  8 Mg 2.95-3.10
Mg  0.7500  0.4936  0.7436  2 In 2.98, 5 Mg 3.03-3.10, 1 Dy 3.19
Mg  0.8497  0.6132  0.4629  1 In 2.74, 4 Mg 2.95-3.05
In  0.1522  0.8595  0.0117  3 Mg 2.74-2.98
In  0.3478  0.3595  0.7073  3 Mg 2.74-2.98
In  0.6522  0.6405  0.2927  3 Mg 2.74-2.98
In  0.8478  0.1405  0.9883  3 Mg 2.74-2.98

=====

> Which value of calculated density does entry 3 give?

6.58 g/cm3